A relaxed PmYErIn crystal. Source: the Alexandria database, functional GGA-PBE.

Cell and atoms, written as POSCAR:
```
PmYErIn
1.0
4.8467 0.0000 0.0000
0.0000 4.8726 0.0000
0.0000 0.0000 4.9143
Pm Y Er In
1 1 1 1
Cartesian
0.0000 0.0000 0.0000 Pm
2.4234 0.0000 2.4572 Y
2.4234 2.4363 0.0000 Er
0.0000 2.4363 2.4572 In
```

Energy above the lowest structure with this stoichiometry (kcal/mol of atoms): 0.000
DFT formation energy (eV per formula unit): -1.072

A relaxed UAl2Te6 crystal. Source: the Alexandria database, functional GGA-PBE.

Cell and atoms, written as POSCAR:
```
UAl2Te6
1.0
7.0349 -6.1878 0.0000
7.0349 6.1878 0.0000
-1.0355 0.0000 7.4064
U Al Te
2 4 12
Cartesian
6.2583 4.9534 5.5548 U
6.7760 -4.9534 1.8516 U
3.7659 0.8862 4.7268 Al
4.2836 -0.8862 1.0236 Al
8.7507 0.8862 6.3828 Al
9.2684 -0.8862 2.6796 Al
1.0565 0.9563 4.5491 Te
4.1027 3.0776 6.1776 Te
1.5742 -0.9563 0.8459 Te
4.9486 1.2484 2.3976 Te
8.4139 3.0776 4.9320 Te
4.4309 -1.2484 6.1008 Te
8.6034 1.2484 1.3056 Te
4.6204 -3.0776 2.4744 Te
8.0857 -1.2484 5.0088 Te
11.4601 0.9563 6.5605 Te
8.9316 -3.0776 1.2288 Te
11.9778 -0.9563 2.8573 Te
```

Energy relative to the elements, uncorrected (eV per atom): -0.3001

A relaxed SmYHo2S4 crystal. Source: the Alexandria database, functional GGA-PBE.

Cell and atoms, written as POSCAR:
```
SmYHo2S4
1.0
6.8034 0.0000 0.0000
0.0000 3.8866 0.0000
-2.2264 0.0000 6.4658
Sm Y Ho S
1 1 2 4
Cartesian
0.0000 0.0000 0.0000 Sm
3.4017 1.9433 0.0000 Y
-1.1132 1.9433 3.2329 Ho
2.2885 0.0000 3.2329 Ho
0.0560 0.0000 4.8091 S
1.1708 1.9433 1.6758 S
3.4062 1.9433 4.7900 S
4.5209 0.0000 1.6567 S
```

Energy relative to the elements, uncorrected (eV per atom): -1.9900

A relaxed K2SrPuCl8 crystal. Source: the Alexandria database, functional GGA-PBE.

Cell and atoms, written as POSCAR:
```
K2SrPuCl8
1.0
6.8853 0.0000 0.0000
0.0000 8.8726 0.0000
-0.2943 0.0000 7.0926
K Sr Pu Cl
2 1 1 8
Cartesian
0.0000 2.1863 0.0000 K
0.0000 6.6862 0.0000 K
3.2955 0.0000 3.5463 Sr
3.2955 4.4363 3.5463 Pu
1.5386 0.0000 1.3856 Cl
1.7750 4.4363 1.4614 Cl
1.8631 2.4948 4.5952 Cl
1.8631 6.3778 4.5952 Cl
4.7279 2.4948 2.4974 Cl
4.7279 6.3778 2.4974 Cl
4.8159 4.4363 5.6312 Cl
5.0523 0.0000 5.7070 Cl
```

Energy relative to the elements, uncorrected (eV per atom): -1.9601

Across the entries above, VASP energy takes the values -0.360 -0.329 -0.485 -0.346 Ry/atom, respectively.
Across the entries above, D(E_F) takes the values 5.64 17.23 4.93 4.05 states/eV/cell, respectively.
Across the entries above, magnetic moment takes the values 0.53 2.68 0.00 4.00 μB/cell, respectively.